Material: Ba2YZr
Method: DFT, GGA-PBE
State: optimized geometry

Cell: 6.695 6.695 6.695 Å, 134.11 134.11 66.92°
Fractional positions:
Ba1 0.250 0.750 0.500
Ba2 0.750 0.250 0.500
Y1 0.000 0.000 0.000
Zr1 0.500 0.500 0.000

Output
Total magnetization: 0.8 Bohr magnetons per cell
Formation energy: 0.584 eV per atom
Final energy: -4.1306 eV/atom
V: 152.2 Å³ per cell